No. 1
Ba3Ca (PBE, relaxed); energy relative to the elements = 0.05 eV per atom; energy above the lowest structure with this stoichiometry = 24.2 meV per atom; total moment = 0.000 μB/atom
1.0
4.328 0.000 0.000
-2.164 3.748 0.000
0.000 0.000 14.202
Ca Ba
1 3
Cartesian
2.164 1.249 10.651
0.000 0.000 14.052
0.000 0.000 7.250
2.164 1.249 3.550

No. 2
BaCa (PBE, relaxed); energy relative to the elements = 0.03 eV per atom; energy above the lowest structure with this stoichiometry = 4.8 meV per atom; total moment = 0.000 μB/atom
1.0
-0.319 -4.631 4.700
1.240 -6.314 -1.495
5.530 -2.884 2.176
Ca Ba
2 2
Cartesian
0.807 -1.729 0.673
5.645 -12.099 4.708
2.419 -5.185 2.018
4.032 -8.643 3.363

No. 3
BaCa3 (PBE, relaxed); energy relative to the elements = 0.03 eV per atom; total moment = 0.000 μB/atom
1.0
6.832 0.000 0.000
0.000 8.322 0.000
0.000 0.000 19.839
Ba Ca
6 18
Cartesian
6.472 2.080 14.879
4.690 2.080 8.247
4.690 2.080 1.673
0.359 6.241 4.960
2.141 6.241 18.166
2.141 6.241 11.592
1.271 8.315 8.274
1.271 8.315 1.646
3.067 8.318 14.879
3.764 0.004 4.960
5.561 0.006 18.193
5.561 0.006 11.565
0.433 2.080 4.960
2.159 2.080 18.194
2.159 2.080 11.565
1.271 4.167 8.274
1.271 4.167 1.646
3.067 4.165 14.879
3.764 4.157 4.960
5.561 4.155 18.193
5.561 4.155 11.565
6.398 6.241 14.879
4.672 6.241 8.274
4.672 6.241 1.646